# LaMg2BePb | the Alexandria database | meta-GGA SCAN | PBEsol geometry
# Crystal system: tetragonal
# ΔE_f (eV per atom): 1.276
# DOS(E_F) (states/eV/f.u.): 4.3
data_LaMg2BePb
_space_group_name_H-M_alt 'P 4/m m m'
_space_group_IT_number 123
_space_group_name_Hall '-P 4 2'
_cell_length_a 5.8631
_cell_length_b 5.8631
_cell_length_c 4.8820
_cell_angle_alpha 90.00
_cell_angle_beta 90.00
_cell_angle_gamma 90.00
loop_
_atom_site_label
_atom_site_type_symbol
_atom_site_fract_x
_atom_site_fract_y
_atom_site_fract_z
La1 La 0.0000 0.0000 0.0000
Mg1 Mg 0.0000 0.5000 0.0000
Be1 Be 0.0000 0.0000 0.5000
Pb1 Pb 0.5000 0.5000 0.5000

# RbLa2MgBe | the Alexandria database | meta-GGA SCAN | PBEsol geometry
# Crystal system: tetragonal
# ΔE_f (eV per atom): 1.178
# DOS(E_F) (states/eV/f.u.): 6.8
data_RbLa2MgBe
_space_group_name_H-M_alt 'P 4/m m m'
_space_group_IT_number 123
_space_group_name_Hall '-P 4 2'
_cell_length_a 5.9162
_cell_length_b 5.9162
_cell_length_c 6.2307
_cell_angle_alpha 90.00
_cell_angle_beta 90.00
_cell_angle_gamma 90.00
loop_
_atom_site_label
_atom_site_type_symbol
_atom_site_fract_x
_atom_site_fract_y
_atom_site_fract_z
Rb1 Rb 0.0000 0.0000 0.0000
La1 La 0.0000 0.5000 0.5000
Mg1 Mg 0.0000 0.0000 0.5000
Be1 Be 0.5000 0.5000 0.0000

# La2MgBeSe | the Alexandria database | meta-GGA SCAN | PBEsol geometry
# Crystal system: tetragonal
# DOS(E_F) (states/eV/f.u.): 3.4
# Energy relative to the elements, uncorrected (eV per atom): 0.079
data_La2MgBeSe
_space_group_name_H-M_alt 'P 4/m m m'
_space_group_IT_number 123
_space_group_name_Hall '-P 4 2'
_cell_length_a 5.7090
_cell_length_b 5.7090
_cell_length_c 4.2830
_cell_angle_alpha 90.00
_cell_angle_beta 90.00
_cell_angle_gamma 90.00
loop_
_atom_site_label
_atom_site_type_symbol
_atom_site_fract_x
_atom_site_fract_y
_atom_site_fract_z
La1 La 0.0000 0.5000 0.0000
Mg1 Mg 0.0000 0.0000 0.0000
Be1 Be 0.0000 0.0000 0.5000
Se1 Se 0.5000 0.5000 0.5000

Number 1: calculated volume 33.56 Å³ per atom. Number 2: calculated volume 43.62 Å³ per atom. Number 3: calculated volume 27.92 Å³ per atom.